First-principles (PBE-GGA) data for Ba2GaNiPb after structural relaxation, as listed in Alexandria.

```
data_Ba2GaNiPb
_cell_length_a 6.031
_cell_length_b 6.031
_cell_length_c 4.631
_cell_angle_alpha 90.00
_cell_angle_beta 90.00
_cell_angle_gamma 90.00
_symmetry_space_group_name_H-M 'P 1'
_symmetry_Int_Tables_number 1
_symmetry_space_group_name_Hall 'P 1'
loop_
_atom_site_label
_atom_site_fract_x
_atom_site_fract_y
_atom_site_fract_z
_atom_site_occupancy
Pb1 0.500 0.500 0.500 1
Ni1 0.000 0.000 0.000 1
Ba1 0.000 0.500 0.000 1
Ba2 0.500 0.000 0.000 1
Ga1 0.000 0.000 0.500 1
```

Results
Electronic total energy, eV/cell: -17.7
Total moment, μB/cell: 0.00
Formation enthalpy at 0 K, meV/atom: -265
Symmetry: P4/mmm (123)
V, Å³ per atom: 33.69